(1)
An optimized crystal structure of La2AlRe, computed with PBE.

The energy of formation is 0.400 eV/atom. The total energy comes out at -6.11 eV per atom. As for the density of states at the Fermi level: 0.865 states/eV per atom.

a b c (Å): 8.563 8.563 6.713
angles (deg): 50.37 50.37 90.00
Atoms (fractional coordinates):
1 La 0.690 0.125 0.250
2 La 0.375 0.310 0.750
3 La 0.875 0.940 0.750
4 La 0.060 0.625 0.250
5 Al 0.500 0.500 0.000
6 Al 0.250 0.750 0.500
7 Re 0.750 0.250 0.500
8 Re 0.000 0.000 0.000



(2)
An optimized crystal structure of La2AlRe, computed with PBE.

The energy of formation is 0.346 eV/atom. The total energy comes out at -6.17 eV per atom. As for the density of states at the Fermi level: 1.093 states/eV per atom.

a b c (Å): 9.649 9.649 9.649
angles (deg): 20.84 20.84 20.84
Atoms (fractional coordinates):
1 La 0.233 0.233 0.233
2 La 0.012 0.012 0.012
3 Al 0.766 0.766 0.766
4 Re 0.489 0.489 0.489